An optimized crystal structure of FePtNO2, computed with PBE with a Hubbard U.

```
FePtNO2
1.0
4.191 0.000 0.000
0.000 4.191 0.000
0.000 0.000 3.660
Fe Pt N O
1 1 1 2
Direct
0.000 0.000 0.000
0.500 0.500 0.500
0.500 0.500 0.000
0.000 0.500 0.500
0.500 0.000 0.500
```

Computed properties:
As for the electronic total energy: -5.539 eV/atom.